This record from the Alexandria database describes an optimized crystal structure of KAlNi2. The functional is PBE.

Lattice parameters (Å, degrees): 2.828 5.314 4.438 90.00 90.00 90.00
Fractional positions:
1 K 0.000 0.500 0.500
2 Ni 0.000 0.000 0.000
3 Ni 0.500 0.500 0.000
4 Al 0.500 0.000 0.500

Computed properties:
The density of states at the Fermi level comes out at 2.81 states/eV/f.u. Its formation energy is 0.753 eV per atom.